Record 1
A relaxed structure of TiVHgGe2, computed with PBE-GGA.

The total energy comes out at -4.646 eV per atom. The density of states at the Fermi level is 10.1 states/eV/cell. Its energy of formation from the pure elements is 664 meV per atom. Its total magnetization is 0.0 μB/cell.

The space group is P4/mmm (No. 123) and the conventional cell measures 4.631, 4.631 and 5.092 Å, with angles of 90.00, 90.00 and 90.00 degrees. The inequivalent atoms are Ti at (0.000, 0.000, 0.000), V at (0.500, 0.500, 0.500), Hg at (0.500, 0.500, 0.000) and Ge at (0.000, 0.500, 0.500).

***

Record 2
A relaxed structure of TbHg2, computed with PBE-GGA.

The total energy comes out at -1.952 eV per atom. The density of states at the Fermi level is 20.1 states/eV/cell. Its energy of formation from the pure elements is -208 meV per atom. Its total magnetization is 0.0 μB/cell.

The space group is Fd-3m (No. 227, origin choice 2) and the conventional cell measures 8.421, 8.421 and 8.421 Å, with angles of 90.00, 90.00 and 90.00 degrees. The inequivalent atoms are Tb at (0.125, 0.125, 0.125) and Hg at (0.000, 0.000, 0.500).

***

Record 3
A relaxed structure of SrAc2Dy, computed with PBE-GGA.

The total energy comes out at -3.459 eV per atom. The density of states at the Fermi level is 16.2 states/eV/cell. Its energy of formation from the pure elements is 166 meV per atom. Its total magnetization is 0.0 μB/cell. The value obtained for the energy above the lowest structure with this stoichiometry is 100.6 meV per atom.

The space group is R-3m (No. 166, hexagonal axes) and the conventional cell measures 3.8675, 3.8675 and 41.0290 Å, with angles of 90.00, 90.00 and 120.00 degrees. The inequivalent atoms are Sr at (0.0000, 0.0000, 0.0000), Ac at (0.0000, 0.0000, 0.0942) and Dy at (0.0000, 0.0000, 0.5000).

***

Which formula does entry 1 have? TiVHgGe2

***

Which value of density of states at the Fermi level does entry 1 give? 10.1 states/eV/cell